# 1
# TbPSe4

A relaxed TbPSe4 crystal (PBE, the Alexandria database).

The structure in POSCAR format:
```
TbPSe4
1.0
-6.4238 -0.6856 4.2246
5.2199 -5.6790 -0.2819
2.5857 -0.5156 7.2531
Tb P Se
2 2 8
direct
0.8750 0.6250 0.2500 Tb
0.1250 0.3750 0.7500 Tb
0.6250 0.8750 0.7500 P
0.3750 0.1250 0.2500 P
0.2511 0.6805 0.9291 Se
0.6097 0.6803 0.5708 Se
0.1803 0.1097 0.0708 Se
0.7489 0.3195 0.0709 Se
0.1805 0.7511 0.4292 Se
0.8197 0.8903 0.9292 Se
0.3903 0.3196 0.4292 Se
0.8195 0.2489 0.5708 Se
```

Summary:
Density   4.90 g/cm³
DOS(E_F)   2.56 states/eV/cell
Final energy   -56.589 eV for the cell shown
ΔE_f (raw)   -0.719 eV per atom

=====

# 2
# ThPaB

A relaxed ThPaB crystal (PBE, the Alexandria database).

The structure in POSCAR format:
```
ThPaB
1.0
-2.9514 4.6040 -2.0902
-2.9556 -2.0690 -0.3840
0.5766 1.7807 3.1081
B Pa Th
1 1 1
direct
0.3200 0.3333 0.6667 B
0.0825 0.0000 0.0000 Pa
0.5975 0.6667 0.3333 Th
```

Summary:
Density   11.79 g/cm³
DOS(E_F)   4.08 states/eV/cell
Calculated formation energy   0.0143 eV per atom
Final energy   -23.550 eV for the cell shown
Offset from the most stable computed form   177.4 meV per atom

=====

# 3
# TlAg

A relaxed TlAg crystal (PBE, the Alexandria database).

The structure in POSCAR format:
```
TlAg
1.0
11.4462 0.0000 0.0000
0.0000 11.4462 0.0000
0.0000 0.0000 3.0907
Tl Ag
8 8
direct
0.3750 0.1624 0.0000 Tl
0.6250 0.8376 0.0000 Tl
0.8376 0.3750 0.0000 Tl
0.1624 0.6250 0.0000 Tl
0.8750 0.6624 0.5000 Tl
0.1250 0.3376 0.5000 Tl
0.3376 0.8750 0.5000 Tl
0.6624 0.1250 0.5000 Tl
0.4292 0.6567 0.0000 Ag
0.5708 0.3433 0.0000 Ag
0.3433 0.4292 0.0000 Ag
0.6567 0.5708 0.0000 Ag
0.9292 0.1567 0.5000 Ag
0.0708 0.8433 0.5000 Ag
0.8433 0.9292 0.5000 Ag
0.1567 0.0708 0.5000 Ag
```

Summary:
Density   10.24 g/cm³
DOS(E_F)   6.00 states/eV/cell
Calculated formation energy   0.2035 eV per atom
Final energy   -38.485 eV for the cell shown

=====

# 4
# NaCa6Mg

A relaxed NaCa6Mg crystal (PBE, the Alexandria database).

The structure in POSCAR format:
```
NaCa6Mg
1.0
-1.3344 -1.9974 5.0474
-3.2304 -3.8849 -2.3913
5.3912 -9.0763 0.9289
Na Ca Mg
1 6 1
direct
0.0000 0.0000 0.0000 Na
0.7492 0.7492 0.5016 Ca
0.6113 0.1113 0.7774 Ca
0.1113 0.6113 0.7774 Ca
0.3887 0.8887 0.2226 Ca
0.2508 0.2508 0.4984 Ca
0.8887 0.3887 0.2226 Ca
0.5000 0.5000 0.0000 Mg
```

Summary:
Density   1.56 g/cm³
DOS(E_F)   9.07 states/eV/cell
Calculated formation energy   0.0128 eV per atom
Final energy   -14.820 eV for the cell shown
Offset from the most stable computed form   0.0 meV per atom

=====

# 5
# SbAs2Pt

A relaxed SbAs2Pt crystal (PBE, the Alexandria database).

The structure in POSCAR format:
```
SbAs2Pt
1.0
3.1055 0.0000 0.0000
0.0000 4.9185 0.0000
0.0000 0.0000 5.1202
Sb As Pt
1 2 1
direct
0.0000 0.5000 0.5000 Sb
0.0000 0.0000 0.0000 As
0.5000 0.5000 0.0000 As
0.5000 0.0000 0.5000 Pt
```

Summary:
Density   9.91 g/cm³
DOS(E_F)   1.91 states/eV/cell
Final energy   -18.565 eV for the cell shown
ΔE_f (raw)   0.224 eV per atom

=====

# 6
# AgPbC3

A relaxed AgPbC3 crystal (PBE, the Alexandria database).

The structure in POSCAR format:
```
AgPbC3
1.0
4.2737 0.0000 0.0000
0.0000 4.2737 0.0000
0.0000 0.0000 4.2737
Pb C Ag
1 3 1
direct
0.5000 0.5000 0.5000 Pb
0.0000 0.5000 0.0000 C
0.0000 0.0000 0.5000 C
0.5000 0.0000 0.0000 C
0.0000 0.0000 0.0000 Ag
```

Summary:
Density   7.47 g/cm³
DOS(E_F)   3.56 states/eV/cell
Calculated formation energy   2.9780 eV per atom
Final energy   -19.341 eV for the cell shown
Offset from the most stable computed form   0.0 meV per atom

=====

# 7
# InGa2CuSn

A relaxed InGa2CuSn crystal (PBE, the Alexandria database).

The structure in POSCAR format:
```
InGa2CuSn
1.0
-1.7778 -2.1553 -3.8584
3.2113 -4.0539 0.7848
-3.3136 -2.1020 2.7009
Cu Sn Ga In
1 1 2 1
direct
0.0000 0.0000 0.0000 Cu
0.0000 0.5000 0.0000 Sn
0.0000 0.0000 0.5000 Ga
0.5000 0.0000 0.0000 Ga
0.5000 0.5000 0.5000 In
```

Summary:
Density   6.11 g/cm³
DOS(E_F)   2.09 states/eV/cell
Calculated formation energy   0.1408 eV per atom
Final energy   -16.187 eV for the cell shown

=====

# 8
# Zr4TlCd

A relaxed Zr4TlCd crystal (PBE, the Alexandria database).

The structure in POSCAR format:
```
Zr4TlCd
1.0
6.7753 0.0000 0.0000
0.0000 6.6447 1.3299
0.0000 -1.3436 6.6859
Zr Tl Cd
8 2 2
direct
0.2499 0.7499 0.2430 Zr
0.2501 0.2499 0.2430 Zr
0.7501 0.7499 0.2430 Zr
0.2501 0.7501 0.7570 Zr
0.7499 0.2499 0.2430 Zr
0.2499 0.2501 0.7570 Zr
0.7499 0.7501 0.7570 Zr
0.7501 0.2501 0.7570 Zr
0.0000 0.5000 0.5000 Tl
0.5000 0.0000 0.5000 Tl
0.5000 0.5000 0.0000 Cd
0.0000 0.0000 0.0000 Cd
```

Summary:
Density   7.23 g/cm³
DOS(E_F)   18.85 states/eV/cell
Calculated formation energy   0.4312 eV per atom
Final energy   -69.774 eV for the cell shown
Offset from the most stable computed form   530.4 meV per atom